VASP calculation (GGA-PBE) on an optimized crystal structure of Tl7In3Sn2.

Geometry as extended XYZ:
```
12
Lattice="5.474 0.000 0.000 0.000 3.591 0.000 -2.542 0.000 18.554" Properties=species:S:1:pos:R:3 pbc="T T T"
Tl 0.000 0.000 0.000
Tl -0.294 1.796 3.423
Tl 0.097 1.796 9.997
Tl 0.490 0.000 15.851
Tl 2.442 0.000 2.703
Tl 2.835 1.796 8.557
Tl 3.226 1.796 15.131
In -0.218 0.000 6.557
In 2.737 1.796 0.000
In 3.150 0.000 11.997
Sn 0.485 1.796 13.073
Sn 2.447 1.796 5.481
```

## Properties
Its formation energy is 73 meV per atom. As for the crystal system: monoclinic.

VASP calculation (GGA-PBE) on an optimized crystal structure of TlInSn2.

Geometry as extended XYZ:
```
4
Lattice="3.893 0.000 0.000 0.000 3.893 0.000 0.000 0.000 7.572" Properties=species:S:1:pos:R:3 pbc="T T T"
Tl 0.000 0.000 0.000
In 0.000 0.000 3.786
Sn 1.946 1.946 2.137
Sn 1.946 1.946 5.435
```

## Properties
Its formation energy is 43 meV per atom. As for the crystal system: tetragonal. For the excess energy over the best structure of this formula in the dataset, the calculation gives 8.0 meV/atom.

VASP calculation (GGA-PBE) on an optimized crystal structure of Tl4In4Sn.

Geometry as extended XYZ:
```
9
Lattice="-4.970 4.970 2.626 4.970 -4.970 2.626 4.970 4.970 -2.626" Properties=species:S:1:pos:R:3 pbc="T T T"
Tl 1.662 1.662 0.000
Tl 3.308 -3.308 2.626
Tl -3.308 3.308 2.626
Tl 3.308 3.308 2.626
In 4.970 1.627 0.000
In 1.627 4.970 0.000
In 3.343 0.000 2.626
In 0.000 3.343 2.626
Sn 0.000 0.000 2.626
```

## Properties
Its formation energy is 27 meV per atom. As for the crystal system: tetragonal.

VASP calculation (GGA-PBE) on an optimized crystal structure of Tl3InSn4.

Geometry as extended XYZ:
```
8
Lattice="12.141 -2.800 0.000 12.141 2.800 0.000 -0.361 0.000 3.453" Properties=species:S:1:pos:R:3 pbc="T T T"
Tl 0.000 0.000 0.000
Tl 2.992 0.000 2.071
Tl 20.928 0.000 1.382
In 11.960 0.000 1.727
Sn 6.097 0.000 2.805
Sn 9.100 0.000 3.133
Sn 14.820 0.000 0.320
Sn 17.823 0.000 0.649
```

## Properties
Its formation energy is 62 meV per atom. As for the crystal system: monoclinic.

VASP calculation (GGA-PBE) on an optimized crystal structure of TlIn12Sn2.

Geometry as extended XYZ:
```
30
Lattice="6.420 0.000 0.000 0.000 6.420 0.000 0.000 0.000 22.254" Properties=species:S:1:pos:R:3 pbc="T T T"
Tl 1.605 4.815 0.000
Tl 4.815 1.605 0.000
In 0.005 3.215 2.541
In 0.005 6.415 19.714
In 0.489 3.699 12.485
In 0.489 5.931 9.769
In 1.605 1.605 4.856
In 1.605 1.605 7.754
In 1.605 1.605 14.500
In 1.605 1.605 17.398
In 2.721 3.699 9.769
In 2.721 5.931 12.485
In 3.205 3.215 19.714
In 3.205 6.415 2.541
In 3.215 0.005 19.714
In 3.215 3.205 2.541
In 3.699 0.489 9.769
In 3.699 2.721 12.485
In 4.815 4.815 4.856
In 4.815 4.815 7.754
In 4.815 4.815 14.500
In 4.815 4.815 17.398
In 5.931 0.489 12.485
In 5.931 2.721 9.769
In 6.415 0.005 2.541
In 6.415 3.205 19.714
Sn 1.605 4.815 5.033
Sn 1.605 4.815 17.221
Sn 4.815 1.605 5.033
Sn 4.815 1.605 17.221
```

## Properties
Its formation energy is 95 meV per atom. As for the crystal system: tetragonal.

VASP calculation (GGA-PBE) on an optimized crystal structure of Tl8In3Sn2.

Geometry as extended XYZ:
```
13
Lattice="5.664 -4.717 0.000 5.664 4.717 0.000 -4.690 0.000 7.611" Properties=species:S:1:pos:R:3 pbc="T T T"
Tl -0.073 0.000 1.704
Tl 2.649 1.956 2.172
Tl 1.090 0.000 4.896
Tl 3.989 1.956 5.440
Tl 2.649 -1.956 2.172
Tl 5.548 0.000 2.715
Tl 3.989 -1.956 5.440
Tl 6.711 0.000 5.907
In -2.345 0.000 3.806
In 5.664 1.942 0.000
In 5.664 -1.942 0.000
Sn -1.505 0.000 7.224
Sn 8.143 0.000 0.387
```

## Properties
Its formation energy is 54 meV per atom. As for the crystal system: monoclinic.

VASP calculation (GGA-PBE) on an optimized crystal structure of Tl8In2Sn3.

Geometry as extended XYZ:
```
13
Lattice="7.770 -4.513 0.000 7.770 4.513 0.000 -2.214 0.000 5.941" Properties=species:S:1:pos:R:3 pbc="T T T"
Tl 5.242 2.833 1.878
Tl 1.239 0.000 1.145
Tl 8.084 2.833 4.063
Tl 3.532 0.000 3.510
Tl 9.795 0.000 2.430
Tl 5.242 -2.833 1.878
Tl 12.088 0.000 4.796
Tl 8.084 -2.833 4.063
In 4.616 0.000 0.406
In 8.711 0.000 5.535
Sn 7.770 1.525 0.000
Sn 6.663 0.000 2.970
Sn 7.770 -1.525 0.000
```

## Properties
Its formation energy is 79 meV per atom. As for the crystal system: monoclinic.

VASP calculation (GGA-PBE) on an optimized crystal structure of Tl5InSn.

Geometry as extended XYZ:
```
14
Lattice="4.462 -3.871 0.000 4.462 3.871 0.000 0.000 0.000 12.628" Properties=species:S:1:pos:R:3 pbc="T T T"
Tl 1.729 1.094 7.711
Tl 1.729 1.094 11.231
Tl 4.462 2.635 9.471
Tl 1.729 -1.094 1.397
Tl 1.729 -1.094 4.917
Tl 7.195 1.094 7.711
Tl 7.195 1.094 11.231
Tl 4.462 -2.635 3.157
Tl 7.195 -1.094 1.397
Tl 7.195 -1.094 4.917
In 4.462 0.512 3.157
In 4.462 -0.512 9.471
Sn 4.462 0.000 0.000
Sn 4.462 0.000 6.314
```

## Properties
Its formation energy is 47 meV per atom. As for the crystal system: orthorhombic.

VASP calculation (GGA-PBE) on an optimized crystal structure of Tl3In7Sn2.

Geometry as extended XYZ:
```
12
Lattice="5.822 0.000 0.000 0.000 3.291 0.000 -1.570 0.000 18.119" Properties=species:S:1:pos:R:3 pbc="T T T"
Tl 0.000 0.000 0.000
Tl 0.619 1.646 6.465
Tl 3.633 1.646 11.654
In -0.415 1.646 15.222
In 0.676 0.000 9.530
In 1.681 0.000 2.947
In 2.911 1.646 0.000
In 2.572 0.000 15.172
In 3.576 0.000 8.589
In 4.668 1.646 2.897
Sn 0.735 0.000 12.592
Sn 3.518 0.000 5.527
```

## Properties
Its formation energy is 39 meV per atom. As for the crystal system: monoclinic. For the excess energy over the best structure of this formula in the dataset, the calculation gives 0.0 meV/atom.

VASP calculation (GGA-PBE) on an optimized crystal structure of Tl3In2Sn2.

Geometry as extended XYZ:
```
7
Lattice="1.720 -17.609 0.000 1.720 17.609 0.000 0.000 0.000 3.398" Properties=species:S:1:pos:R:3 pbc="T T T"
Tl 0.000 0.000 0.000
Tl 1.720 2.702 1.699
Tl 1.720 -2.702 1.699
In 1.720 7.464 1.699
In 1.720 -7.464 1.699
Sn 1.720 12.388 0.000
Sn 1.720 -12.388 0.000
```

## Properties
Its formation energy is 29 meV per atom. As for the crystal system: orthorhombic.

VASP calculation (GGA-PBE) on an optimized crystal structure of TlIn6Sn5.

Geometry as extended XYZ:
```
12
Lattice="5.055 0.000 0.000 0.000 8.559 0.000 -2.507 0.000 7.639" Properties=species:S:1:pos:R:3 pbc="T T T"
Tl 0.000 0.000 0.000
In 0.036 2.149 2.567
In 0.036 6.410 2.567
In 2.527 2.186 0.000
In 2.527 6.373 0.000
In 2.511 2.149 5.072
In 2.511 6.410 5.072
Sn 0.000 4.280 0.000
Sn -0.030 4.280 5.051
Sn -0.019 0.000 5.066
Sn 2.567 0.000 2.574
Sn 2.577 4.280 2.588
```

## Properties
Its formation energy is 33 meV per atom. As for the crystal system: monoclinic.

Question: Number 9 is which compound?
Answer: Tl3In7Sn2